# 1
A plane-wave DFT calculation with PBE-GGA was carried out for BaBeNF2 after structural relaxation.

Offset from the most stable computed form: 0 meV/atom
Crystal system: tetragonal
Symmetry: No. 123
Total magnetization: 0.200 μB/atom
Raw formation energy: -1888 meV/atom

Geometry as extended XYZ:
```
5
Lattice="4.2641 0.0000 0.0000 0.0000 4.2641 0.0000 0.0000 0.0000 3.5089" Properties=species:S:1:pos:R:3 pbc="T T T"
Ba 0.0000 0.0000 0.0000
Be 2.1320 2.1320 1.7544
N 2.1320 2.1320 0.0000
F 0.0000 2.1320 1.7544
F 2.1320 0.0000 1.7544
```



# 2
A plane-wave DFT calculation with PBE-GGA was carried out for BaBeN2F after structural relaxation.

Offset from the most stable computed form: 0 meV/atom
Crystal system: tetragonal
Symmetry: No. 123
Total magnetization: 0.000 μB/atom
Raw formation energy: -649 meV/atom

Geometry as extended XYZ:
```
5
Lattice="3.5795 0.0000 0.0000 0.0000 3.5795 0.0000 0.0000 0.0000 5.0960" Properties=species:S:1:pos:R:3 pbc="T T T"
Ba 0.0000 0.0000 0.0000
Be 1.7898 1.7898 2.5480
N 0.0000 1.7898 2.5480
N 1.7898 0.0000 2.5480
F 1.7898 1.7898 0.0000
```



# 3
A plane-wave DFT calculation with PBE-GGA was carried out for BaBeN2F after structural relaxation.

Offset from the most stable computed form: 2004 meV/atom
Crystal system: tetragonal
Symmetry: No. 123
Total magnetization: 0.238 μB/atom
Raw formation energy: 1356 meV/atom

Geometry as extended XYZ:
```
5
Lattice="4.7753 0.0000 0.0000 0.0000 4.7753 0.0000 0.0000 0.0000 4.8464" Properties=species:S:1:pos:R:3 pbc="T T T"
Ba 0.0000 0.0000 0.0000
Be 2.3877 2.3877 2.4232
N 0.0000 2.3877 0.0000
N 2.3877 0.0000 0.0000
F 0.0000 0.0000 2.4232
```



# 4
A plane-wave DFT calculation with PBE-GGA was carried out for BaBeNF2 after structural relaxation.

Offset from the most stable computed form: 1537 meV/atom
Crystal system: tetragonal
Symmetry: No. 123
Total magnetization: 0.491 μB/atom
Raw formation energy: -350 meV/atom

Geometry as extended XYZ:
```
5
Lattice="5.0127 0.0000 0.0000 0.0000 5.0127 0.0000 0.0000 0.0000 5.7671" Properties=species:S:1:pos:R:3 pbc="T T T"
Ba 0.0000 0.0000 0.0000
Be 2.5063 2.5063 2.8835
N 0.0000 0.0000 2.8835
F 0.0000 2.5063 0.0000
F 2.5063 0.0000 0.0000
```



no.,DOS at the Fermi energy (states/eV per cell),raw total energy (eV per atom)
1,2.383,-5.43
2,2.382,-5.48
3,3.058,-3.48
4,4.007,-3.89